The following is a GGA+U calculation of Pr4Al3NiO12 after structural relaxation, from Alexandria.

Unit cell a=7.6124 b=7.6124 c=7.6124 alpha=90.00 beta=90.00 gamma=90.00
Closest atoms and distances in Å follow each position.
Space group Im-3m (No. 229)
One atom of each set of equivalent atoms:
Pr 0.2500 0.2500 0.2500 x8  12 O 2.69
Al 0.0000 0.0000 0.5000 x6  6 O 1.86-1.90
Ni 0.0000 0.0000 0.0000 x2  6 O 1.94
O 0.0000 0.0000 0.2552 x12  1 Al 1.86, 1 Ni 1.94
O 0.0000 0.2500 0.5000 x12  2 Al 1.90

Output
- Density of states at the Fermi level: 0.2633 states/eV per atom
- ρ: 6.74 g cm⁻³
- M_tot: 0.99 μB/f.u.
- Total energy: -300.57 eV for the cell shown